First-principles (GGA+U) data for a relaxed Cs2FeReO6 crystal, as listed in Alexandria via LeMat-Bulk.

Calculated values
As for the space group: P-3m1 (164). Its crystal system is trigonal. The uncorrected energy is -63.198 eV for the cell shown.

a b c (Å): 6.538 6.538 4.996
angles (deg): 90.00 90.00 120.00
Positions (direct):
Cs 0.333 0.667 0.222
Cs 0.667 0.333 0.778
Fe 0.000 0.000 0.000
Re 0.000 0.000 0.500
O 0.131 0.262 0.745
O 0.131 0.869 0.745
O 0.262 0.131 0.255
O 0.738 0.869 0.745
O 0.869 0.131 0.255
O 0.869 0.738 0.255